VASP calculation (PBE) on a geometry-optimized AcCu2Cl6 structure.

Distance to the lowest polymorph of the same formula = 0.18 eV/f.u.
Fermi-level density of states = 5.33 states/eV/f.u.
DFT total energy = -0.2865 Ry per atom
Uncorrected formation energy = -1.2998 eV per atom
ρ = 4.5 g cm⁻³

POSCAR file:
```
AcCu2Cl6
1.0
4.936 0.000 -1.418
-0.412 4.914 -1.433
-0.168 -0.155 8.714
Ac Cu Cl
1 2 6
Direct
0.000 0.500 0.000 Ac
0.250 0.250 0.500 Cu
0.750 0.750 0.500 Cu
0.101 0.101 0.201 Cl
0.243 0.743 0.487 Cl
0.757 0.257 0.513 Cl
0.399 0.399 0.799 Cl
0.601 0.601 0.201 Cl
0.899 0.899 0.799 Cl
```